(1)
Ta3AlCr | PBE | relaxed

Its energy above the most stable polymorph in this dataset is 0 meV per atom. As for the formation energy: 434 kJ/mol of formula units. The total magnetization is 0.00 μB/f.u. As for the density: 10.58 g/cm³.

Cell: 4.6042 4.6042 4.6042 Å, 90.00 90.00 90.00°
Sites, in units of the cell vectors:
Ta 0.0000 0.0000 0.5000
Ta 0.0000 0.5000 0.0000
Ta 0.5000 0.0000 0.0000
Al 0.5000 0.5000 0.5000
Cr 0.0000 0.0000 0.0000

=====

(2)
Ta2Al2Cr | PBE | relaxed

Its energy above the most stable polymorph in this dataset is 464 meV per atom. As for the formation energy: 228 kJ/mol of formula units. The total magnetization is 0.00 μB/f.u. As for the density: 9.08 g/cm³.

Cell: 7.7422 7.7422 7.7422 Å, 154.55 154.55 36.31°
Sites, in units of the cell vectors:
Ta 0.0950 0.0950 0.0000
Ta 0.9050 0.9050 0.0000
Al 0.2500 0.7500 0.5000
Al 0.7500 0.2500 0.5000
Cr 0.5000 0.5000 0.0000

=====

(3)
TaAl2Cr | PBE | relaxed

Its energy above the most stable polymorph in this dataset is 194 meV per atom. As for the formation energy: 27 kJ/mol of formula units. The total magnetization is 0.00 μB/f.u. As for the density: 7.68 g/cm³.

Cell: 2.7723 2.7723 8.4177 Å, 90.00 90.00 106.46°
Sites, in units of the cell vectors:
Ta 0.0000 0.0000 0.0000
Al 0.0000 0.0000 0.4669
Al 0.5000 0.5000 0.7342
Cr 0.5000 0.5000 0.2416

=====

(4)
Ta2AlCr | PBE | relaxed

As for the formation energy: 30 kJ/mol of formula units. The total magnetization is 2.05 μB/f.u. As for the density: 11.12 g/cm³.

Cell: 2.8969 2.8969 7.8437 Å, 90.00 90.00 90.00°
Sites, in units of the cell vectors:
Ta 0.0000 0.0000 0.2296
Ta 0.0000 0.0000 0.7704
Al 0.5000 0.5000 0.5000
Cr 0.5000 0.5000 0.0000